Entry 1:
The following is a PBE calculation of an optimized crystal structure of Na2TiAgC, from Alexandria via LeMat-Bulk.

Computed properties:
**D(E_F)**: 1.481 states/eV per atom
**E_tot**: -13.22 eV per cell
**Energy of formation**: 1.878 eV per atom

```
5
Lattice="5.229 0.000 0.000 0.000 5.200 0.000 0.000 0.000 5.229" Properties=species:S:1:pos:R:3 pbc="T T T"
Ag 0.000 0.000 0.000
Ti 0.000 2.600 0.000
Na 0.000 0.000 2.614
Na 2.614 0.000 0.000
C 2.614 2.600 2.614
```


Entry 2:
The following is a PBE calculation of an optimized crystal structure of NaYAg2C, from Alexandria via LeMat-Bulk.

Computed properties:
**D(E_F)**: 0.648 states/eV per atom
**E_tot**: -17.59 eV per cell
**Energy of formation**: 1.024 eV per atom

```
5
Lattice="-3.248 3.942 -2.741 1.988 -0.942 -3.712 -3.990 -4.057 -1.107" Properties=species:S:1:pos:R:3 pbc="T T T"
Ag -1.624 1.971 -1.371
Ag -1.995 -2.029 -0.554
C 0.994 -0.471 -1.856
Na -2.625 -0.529 -3.780
Y 0.000 0.000 0.000
```